# TbNd3Sc2Te6 PBE-GGA relaxed
# D(E_F) = 0.57 states/eV per atom
# DFT total energy = -5.495 eV/atom
data_TbNd3Sc2Te6
_symmetry_space_group_name_H-M 'P 1'
_symmetry_Int_Tables_number 1
_symmetry_space_group_name_Hall 'P 1'
_cell_length_a 4.325
_cell_length_b 8.831
_cell_length_c 9.814
_cell_angle_alpha 104.22
_cell_angle_beta 102.73
_cell_angle_gamma 90.00
loop_
_atom_site_label
_atom_site_type_symbol
_atom_site_fract_x
_atom_site_fract_y
_atom_site_fract_z
_atom_site_occupancy
Tb1 Tb 0.500 0.000 0.000 1
Nd1 Nd 0.500 0.500 0.000 1
Nd2 Nd 0.839 0.172 0.677 1
Nd3 Nd 0.161 0.828 0.323 1
Sc1 Sc 0.834 0.669 0.668 1
Sc2 Sc 0.166 0.331 0.332 1
Te1 Te 0.333 0.901 0.666 1
Te2 Te 0.673 0.567 0.346 1
Te3 Te 0.667 0.099 0.334 1
Te4 Te 0.009 0.248 0.017 1
Te5 Te 0.991 0.752 0.983 1
Te6 Te 0.327 0.433 0.654 1